1.
Here is a relaxed La2RuSe crystal from Alexandria via LeMat-Bulk. Energies are from PBE.

## Properties
- Formation energy from raw total energies: -985.1 meV per atom
- SG: No. 38
- E_tot: -6.6389 eV per atom

```
data_La2RuSe
_chemical_formula_sum 'La2 Ru1 Se1'
_cell_length_a 5.9635
_cell_length_b 5.9635
_cell_length_c 4.6956
_cell_angle_alpha 90.00
_cell_angle_beta 90.00
_cell_angle_gamma 38.74
_symmetry_space_group_name_H-M 'P 1'
_symmetry_Int_Tables_number 1
_symmetry_space_group_name_Hall 'P 1'
loop_
_atom_site_label
_atom_site_fract_x
_atom_site_fract_y
_atom_site_fract_z
_atom_site_occupancy
La1 0.9991 0.9991 0.1253 1
La2 0.7239 0.7239 0.6250 1
Ru1 0.5069 0.5069 0.6249 1
Se1 0.2701 0.2701 0.1249 1
```

2.
Here is a relaxed La4SnAsN crystal from Alexandria via LeMat-Bulk. Energies are from PBE.

## Properties
- Formation energy from raw total energies: -1027.9 meV per atom
- SG: No. 63
- E_tot: -6.2690 eV per atom

```
data_La4SnAsN
_chemical_formula_sum 'La8 Sn2 As2 N2'
_cell_length_a 6.9455
_cell_length_b 6.9208
_cell_length_c 9.0216
_cell_angle_alpha 90.00
_cell_angle_beta 112.64
_cell_angle_gamma 90.00
_symmetry_space_group_name_H-M 'P 1'
_symmetry_Int_Tables_number 1
_symmetry_space_group_name_Hall 'P 1'
loop_
_atom_site_label
_atom_site_fract_x
_atom_site_fract_y
_atom_site_fract_z
_atom_site_occupancy
La1 0.9212 0.2500 0.8423 1
La2 0.4165 0.7500 0.8329 1
La3 0.0788 0.7500 0.1577 1
La4 0.5835 0.2500 0.1671 1
La5 0.5000 0.5000 0.5000 1
La6 0.0000 0.0000 0.5000 1
La7 0.5000 0.0000 0.5000 1
La8 0.0000 0.5000 0.5000 1
Sn1 0.6075 0.7500 0.2151 1
Sn2 0.3925 0.2500 0.7849 1
As1 0.1156 0.2500 0.2312 1
As2 0.8844 0.7500 0.7688 1
N1 0.2252 0.7500 0.4504 1
N2 0.7748 0.2500 0.5496 1
```

3.
Here is a relaxed HfTe2Pb crystal from Alexandria via LeMat-Bulk. Energies are from PBE.

## Properties
- Formation energy from raw total energies: -530.4 meV per atom
- SG: No. 166
- E_tot: -5.5167 eV per atom

```
data_HfTe2Pb
_chemical_formula_sum 'Hf1 Te2 Pb1'
_cell_length_a 10.4393
_cell_length_b 10.4393
_cell_length_c 10.4393
_cell_angle_alpha 21.13
_cell_angle_beta 21.13
_cell_angle_gamma 21.13
_symmetry_space_group_name_H-M 'P 1'
_symmetry_Int_Tables_number 1
_symmetry_space_group_name_Hall 'P 1'
loop_
_atom_site_label
_atom_site_fract_x
_atom_site_fract_y
_atom_site_fract_z
_atom_site_occupancy
Pb1 0.0000 0.0000 0.0000 1
Te1 0.8933 0.8933 0.8933 1
Te2 0.1067 0.1067 0.1067 1
Hf1 0.5000 0.5000 0.5000 1
```

4.
Here is a relaxed AlTl2Ni crystal from Alexandria via LeMat-Bulk. Energies are from PBE.

## Properties
- Energy of formation: 1.3 eV/f.u.
- Energy above the most stable polymorph in this dataset: 0.304 eV per atom
- SG: No. 166
- E_tot: -3.2327 eV per atom

```
data_AlTl2Ni
_chemical_formula_sum 'Al1 Tl2 Ni1'
_cell_length_a 8.7794
_cell_length_b 8.7794
_cell_length_c 8.7794
_cell_angle_alpha 22.09
_cell_angle_beta 22.09
_cell_angle_gamma 22.09
_symmetry_space_group_name_H-M 'P 1'
_symmetry_Int_Tables_number 1
_symmetry_space_group_name_Hall 'P 1'
loop_
_atom_site_label
_atom_site_fract_x
_atom_site_fract_y
_atom_site_fract_z
_atom_site_occupancy
Ni1 0.2500 0.2500 0.2500 1
Tl1 0.9902 0.9902 0.9902 1
Tl2 0.5098 0.5098 0.5098 1
Al1 0.7500 0.7500 0.7500 1
```